BaTl2Cr (GGA-PBE, relaxed); calculated density = 6.67 g cm⁻³; uncorrected energy = -3.732 eV/atom
1.0
-2.757 2.757 9.804
2.757 -2.757 9.804
2.757 2.757 -9.804
Ba Tl Cr
2 4 2
Direct
0.000 0.000 0.000 Ba
0.750 0.250 0.500 Ba
0.269 0.625 0.144 Tl
0.375 0.519 0.644 Tl
0.481 0.125 0.856 Tl
0.875 0.731 0.356 Tl
0.250 0.750 0.500 Cr
0.500 0.500 0.000 Cr